No. 1
A relaxed structure of Tc2MoW. Source: the Alexandria database, functional PBE.

Cell lengths 2.7569, 3.9874, 5.6100 Å; angles 90.00, 90.00, 90.00 degrees
Element x y z (fractional)
1 Tc 0.0000 0.0000 0.0000
2 Tc 0.5000 0.5000 0.2428
3 Mo 0.5000 0.5000 0.7558
4 W 0.0000 0.0000 0.4894

Output
formation enthalpy at 0 K = 0.208 eV/atom
relative energy among the computed polymorphs = 141 meV per atom
crystal system = orthorhombic
uncorrected energy = -10.921 eV/atom

=====

No. 2
A relaxed structure of AsAuSe2. Source: the Alexandria database, functional PBE.

Cell lengths 8.4160, 8.4160, 2.6165 Å; angles 90.00, 90.00, 143.54 degrees
Element x y z (fractional)
1 As 0.0000 0.0000 0.0000
2 Au 0.5000 0.5000 0.0000
3 Se 0.0000 0.5000 0.5000
4 Se 0.5000 0.0000 0.5000

Output
formation energy without anion corrections = 0.359 eV/atom
crystal system = orthorhombic
uncorrected energy = -3.365 eV/atom

=====

No. 3
A relaxed structure of TlTePH. Source: the Alexandria database, functional PBE.

Cell lengths 3.8700, 3.9322, 6.6881 Å; angles 75.49, 73.62, 89.95 degrees
Element x y z (fractional)
1 Tl 0.0000 0.0000 0.0000
2 Te 0.7524 0.2140 0.4859
3 P 0.1977 0.5745 0.5987
4 H 0.4856 0.9373 0.0295

Output
relative energy among the computed polymorphs = 255 meV per atom
crystal system = triclinic
uncorrected energy = -3.253 eV/atom